! MnBSN2 GGA-PBEsol relaxed; values from VASP
! raw formation energy: 1078 meV per atom
! crystal system: tetragonal
! electronic total energy: -6.565 eV per atom
&SYSTEM
  ibrav = 0, nat = 5, ntyp = 4
/
ATOMIC_SPECIES
Mn 54.94 Mn.upf
B 10.81 B.upf
S 32.06 S.upf
N 14.01 N.upf
CELL_PARAMETERS angstrom
3.4439 0.0000 0.0000
0.0000 3.4439 0.0000
0.0000 0.0000 4.9020
ATOMIC_POSITIONS crystal
Mn 0.0000 0.0000 0.0000
B 0.5000 0.5000 0.5000
S 0.0000 0.0000 0.5000
N 0.0000 0.5000 0.0000
N 0.5000 0.0000 0.0000

! MnBTe2N GGA-PBEsol relaxed; values from VASP
! raw formation energy: 828 meV per atom
! crystal system: tetragonal
! electronic total energy: -5.643 eV per atom
&SYSTEM
  ibrav = 0, nat = 5, ntyp = 4
/
ATOMIC_SPECIES
Mn 54.94 Mn.upf
B 10.81 B.upf
Te 127.60 Te.upf
N 14.01 N.upf
CELL_PARAMETERS angstrom
5.0554 0.0000 0.0000
0.0000 5.0554 0.0000
0.0000 0.0000 3.3704
ATOMIC_POSITIONS crystal
Mn 0.0000 0.0000 0.0000
B 0.5000 0.5000 0.5000
Te 0.0000 0.5000 0.0000
Te 0.5000 0.0000 0.0000
N 0.0000 0.0000 0.5000

! NaMnBO3 GGA-PBEsol relaxed; values from VASP
! raw formation energy: -1854 meV per atom
! crystal system: monoclinic
! electronic total energy: -7.508 eV per atom
&SYSTEM
  ibrav = 0, nat = 12, ntyp = 4
/
ATOMIC_SPECIES
Na 22.99 Na.upf
Mn 54.94 Mn.upf
B 10.81 B.upf
O 16.00 O.upf
CELL_PARAMETERS angstrom
2.5371 -4.4745 0.0000
2.5371 4.4745 0.0000
-1.1069 0.0000 5.6643
ATOMIC_POSITIONS crystal
Na 0.1647 0.8353 0.7500
Na 0.8353 0.1647 0.2500
Mn 0.5000 0.5000 0.0000
Mn 0.5000 0.5000 0.5000
B 0.1690 0.8310 0.2500
B 0.8310 0.1690 0.7500
O 0.1248 0.3099 0.6955
O 0.3099 0.1248 0.1955
O 0.3240 0.6760 0.2500
O 0.6760 0.3240 0.7500
O 0.6901 0.8752 0.8045
O 0.8752 0.6901 0.3045

! Na3Mn2BO6 GGA-PBEsol relaxed; values from VASP
! raw formation energy: -1752 meV per atom
! crystal system: triclinic
! electronic total energy: -6.938 eV per atom
&SYSTEM
  ibrav = 0, nat = 12, ntyp = 4
/
ATOMIC_SPECIES
Na 22.99 Na.upf
Mn 54.94 Mn.upf
B 10.81 B.upf
O 16.00 O.upf
CELL_PARAMETERS angstrom
2.8803 0.0000 0.0000
1.4400 5.2687 0.0000
1.4287 0.3951 8.9503
ATOMIC_POSITIONS crystal
Na 0.0000 0.0000 0.0000
Na 0.3291 0.0140 0.3302
Na 0.6709 0.9860 0.6698
Mn 0.3387 0.4732 0.8482
Mn 0.6613 0.5268 0.1518
B 0.5000 0.5000 0.5000
O 0.0270 0.7331 0.2145
O 0.2992 0.3058 0.0965
O 0.3620 0.7199 0.5521
O 0.6380 0.2801 0.4479
O 0.7008 0.6942 0.9035
O 0.9730 0.2669 0.7855